# 1
Material: NaUTlCl6
Method: DFT, PBE-GGA
State: optimized geometry

Lattice parameters (Å, degrees): 7.189 7.189 13.788 90.00 90.00 120.00
Sites, in units of the cell vectors:
Cl: 0.977 0.355 0.140
Cl: 0.355 0.977 0.640
Cl: 0.645 0.023 0.360
Cl: 0.378 0.355 0.360
Cl: 0.977 0.622 0.360
Cl: 0.023 0.378 0.640
Cl: 0.023 0.645 0.860
Cl: 0.645 0.622 0.140
Cl: 0.355 0.378 0.860
Cl: 0.622 0.977 0.860
Cl: 0.378 0.023 0.140
Cl: 0.622 0.645 0.640
Na: 0.333 0.667 0.250
Na: 0.667 0.333 0.750
U: 0.333 0.667 0.750
U: 0.667 0.333 0.250
Tl: 0.000 0.000 0.500
Tl: 0.000 0.000 0.000

Results
- raw formation energy (eV/atom) = -1.6234
- crystal system = trigonal



# 2
Material: Ac3Ir7Rh2
Method: DFT, PBE-GGA
State: optimized geometry

Lattice parameters (Å, degrees): 5.466 5.466 9.565 73.40 73.40 60.00
Sites, in units of the cell vectors:
Rh: 0.668 0.668 0.995
Rh: 0.332 0.332 0.005
Ir: 0.578 0.578 0.760
Ir: 0.500 0.500 0.500
Ir: 0.578 0.084 0.760
Ir: 0.916 0.422 0.240
Ir: 0.084 0.578 0.760
Ir: 0.422 0.916 0.240
Ir: 0.422 0.422 0.240
Ac: 0.860 0.860 0.419
Ac: 0.000 0.000 0.000
Ac: 0.140 0.140 0.581

Results
- energy of formation from the pure elements (eV per atom) = -0.45
- crystal system = trigonal



# 3
Material: LaIn2Ag
Method: DFT, PBE-GGA
State: optimized geometry

Lattice parameters (Å, degrees): 5.250 5.250 5.251 60.00 60.00 59.95
Sites, in units of the cell vectors:
In: 0.750 0.750 0.750
In: 0.000 0.000 0.000
La: 0.500 0.500 0.500
Ag: 0.250 0.250 0.249

Results
- energy of formation from the pure elements (eV per atom) = -0.34
- crystal system = cubic



# 4
Material: PrNd4Sm2Ho
Method: DFT, PBE-GGA
State: optimized geometry

Lattice parameters (Å, degrees): 3.663 6.315 12.112 79.74 90.00 90.00
Sites, in units of the cell vectors:
Nd: 0.000 0.751 0.747
Nd: 0.500 0.749 0.253
Nd: 0.000 0.249 0.253
Nd: 0.500 0.251 0.747
Sm: 0.000 0.000 0.000
Sm: 0.500 0.000 0.500
Ho: 0.000 0.500 0.500
Pr: 0.500 0.500 0.000

Results
- energy of formation from the pure elements (eV per atom) = 0.02
- crystal system = monoclinic



| no. | total magnetic moment (μB per formula unit) |
| --- | --- |
| 1 | 2.00 |
| 2 | 0.00 |
| 3 | 0.00 |
| 4 | 0.00 |